Record 1
Density functional theory data (PBE) for a geometry-optimized TbSm4Er2 structure.

Values from the calculation:
The value obtained for the energy above the most stable polymorph in this dataset is 0 meV/atom. The calculation puts the formation enthalpy at 0 K at 0.05 eV/atom.

a b c (Å): 11.8930 24.0735 6.4261
angles (deg): 90.00 90.00 90.00
Closest atoms and distances in Å follow each position.
Space group Fdd2 (No. 43)
Inequivalent atoms, fractional coordinates:
Tb: 0.0000 0.0000 0.0000 [8 per cell]  4 Er 3.45-3.59, 8 Sm 3.56-3.73
Sm: 0.0525 0.4297 0.9925 [16 per cell]  4 Er 3.41-3.63, 4 Sm 3.43-3.61, 2 Tb 3.64-3.73
Sm: 0.0688 0.3565 0.4617 [16 per cell]  5 Sm 3.43-3.57, 3 Er 3.55-3.83, 2 Tb 3.56-3.61
Er: 0.0256 0.2844 0.9362 [16 per cell]  6 Sm 3.41-3.63, 2 Tb 3.45-3.59, 2 Er 3.67


Record 2
Density functional theory data (PBE) for a geometry-optimized Tb2Sm6Er3 structure.

Values from the calculation:
The value obtained for the energy above the most stable polymorph in this dataset is 216 meV/atom. The calculation puts the formation enthalpy at 0 K at 0.29 eV/atom.

a b c (Å): 4.7530 4.7530 33.4575
angles (deg): 90.00 90.00 90.00
Closest atoms and distances in Å follow each position.
Space group I4/mmm (No. 139)
Inequivalent atoms, fractional coordinates:
Tb: 0.0000 0.0000 0.0454 [4 per cell]  1 Tb 3.04
Sm: 0.0000 0.0000 0.1989 [4 per cell]  5 Er 3.36-3.43, 4 Sm 3.53
Sm: 0.0000 0.5000 0.1208 [8 per cell]  6 Sm 3.36-3.53, 2 Tb 3.47, 2 Er 3.52
Er: 0.0000 0.0000 0.3015 [4 per cell]  9 Sm 3.36-3.52
Er: 0.0000 0.0000 0.5000 [2 per cell]  8 Tb 3.69


Record 3
Density functional theory data (PBE) for a geometry-optimized TbSmEr structure.

Values from the calculation:
The value obtained for the energy above the most stable polymorph in this dataset is 764 meV/atom. The calculation puts the formation enthalpy at 0 K at 0.78 eV/atom.

a b c (Å): 5.9288 5.9288 6.3093
angles (deg): 90.00 90.00 90.00
Closest atoms and distances in Å follow each position.
Space group P4_2/mmc (No. 131)
Inequivalent atoms, fractional coordinates:
Tb: 0.0000 0.5000 0.0000 [2 per cell]  2 Sm 2.96
Sm: 0.0000 0.0000 0.0000 [2 per cell]  2 Tb 2.96, 2 Sm 3.15
Er: 0.5000 0.5000 0.2500 [2 per cell]  2 Er 3.15, 4 Tb 3.36


Record 4
Density functional theory data (PBE) for a geometry-optimized Tb5Sm7Er structure.

Values from the calculation:
The calculation puts the formation enthalpy at 0 K at 0.24 eV/atom.

a b c (Å): 6.7123 11.2793 11.6712
angles (deg): 90.00 90.00 90.00
Closest atoms and distances in Å follow each position.
Space group Imm2 (No. 44)
Inequivalent atoms, fractional coordinates:
Tb: 0.0000 0.0000 0.0000 [2 per cell]  4 Tb 3.14, 4 Sm 3.48-3.51
Tb: 0.2315 0.2718 0.5048 [8 per cell]  2 Tb 3.11-3.14, 3 Sm 3.44-3.47
Sm: 0.0000 0.0000 0.4994 [2 per cell]  6 Sm 3.36-3.55, 4 Tb 3.44
Sm: 0.0000 0.1710 0.2513 [4 per cell]  5 Tb 3.46-3.53, 5 Sm 3.48-3.86
Sm: 0.0000 0.1732 0.7534 [4 per cell]  5 Tb 3.47-3.50, 3 Sm 3.55-3.79, 1 Er 3.76
Sm: 0.0000 0.5000 0.3087 [2 per cell]  7 Sm 3.61-3.94, 6 Tb 3.78-4.03
Sm: 0.0000 0.5000 0.9993 [2 per cell]  3 Sm 3.36-3.61, 4 Tb 3.56, 1 Er 3.61
Er: 0.0000 0.5000 0.6899 [2 per cell]  7 Sm 3.61-3.94, 6 Tb 3.70-4.02


Record 5
Density functional theory data (PBE) for a geometry-optimized Tb2Sm4Er3 structure.

Values from the calculation:
The value obtained for the energy above the most stable polymorph in this dataset is 41 meV/atom. The calculation puts the formation enthalpy at 0 K at 0.09 eV/atom.

a b c (Å): 16.7488 11.6826 5.9673
angles (deg): 90.00 97.43 90.00
Closest atoms and distances in Å follow each position.
Space group C2/c (No. 15)
Inequivalent atoms, fractional coordinates:
Tb: 0.1031 0.1070 0.2922 [8 per cell]  3 Sm 3.28-3.65, 4 Er 3.41-3.50, 1 Tb 3.42
Sm: 0.0634 0.3902 0.0449 [8 per cell]  3 Sm 3.33-3.46, 4 Er 3.40-3.51, 1 Tb 3.65
Sm: 0.2285 0.1092 0.8804 [8 per cell]  2 Tb 3.28-3.43, 4 Er 3.40-3.50, 2 Sm 3.46-3.62
Er: 0.0000 0.1509 0.7500 [4 per cell]  2 Sm 3.40, 6 Tb 3.45-3.50
Er: 0.1677 0.3484 0.5817 [8 per cell]  7 Sm 3.40-3.51, 1 Tb 3.41


Record 6
Density functional theory data (PBE) for a geometry-optimized Tb5Sm3Er2 structure.

Values from the calculation:
The value obtained for the energy above the most stable polymorph in this dataset is 66 meV/atom. The calculation puts the formation enthalpy at 0 K at 0.26 eV/atom.

a b c (Å): 11.1464 17.7336 6.7305
angles (deg): 90.00 90.00 90.00
Closest atoms and distances in Å follow each position.
Space group Ibam (No. 72)
Inequivalent atoms, fractional coordinates:
Tb: 0.0000 0.0000 0.2500 [4 per cell]  6 Tb 3.37-3.63, 4 Er 3.42
Tb: 0.0000 0.3188 0.2500 [8 per cell]  1 Sm 3.21, 4 Tb 3.33-3.37
Tb: 0.1017 0.1698 0.0000 [8 per cell]  1 Er 3.13, 2 Tb 3.33, 1 Sm 3.46
Sm: 0.0000 0.5000 0.2500 [4 per cell]  4 Er 3.16, 2 Tb 3.21, 2 Sm 3.37
Sm: 0.2089 0.1706 0.5000 [8 per cell]  6 Tb 3.46-3.66, 1 Er 3.53
Er: 0.2364 0.4748 0.5000 [8 per cell]  3 Tb 3.13-3.42, 2 Sm 3.16, 2 Er 3.48


Record 7
Density functional theory data (PBE) for a geometry-optimized Tb6Sm4Er19 structure.

Values from the calculation:
The calculation puts the formation enthalpy at 0 K at 0.39 eV/atom.

a b c (Å): 12.3807 12.3807 12.3807
angles (deg): 90.00 90.00 90.00
Closest atoms and distances in Å follow each position.
Space group I23 (No. 197)
Inequivalent atoms, fractional coordinates:
Tb: 0.0000 0.3734 0.5000 [12 per cell]  1 Tb 3.14, 4 Er 3.18-3.36
Sm: 0.1795 0.1795 0.8205 [8 per cell]  9 Er 3.30-3.39
Er: 0.0000 0.0000 0.0000 [2 per cell]  6 Er 3.22
Er: 0.0000 0.0000 0.2601 [12 per cell]  5 Er 3.22-3.52, 2 Sm 3.30, 2 Tb 3.36
Er: 0.0627 0.2619 0.2772 [24 per cell]  1 Tb 3.18, 2 Sm 3.32-3.39, 2 Er 3.34-3.52


Record 8
Density functional theory data (PBE) for a geometry-optimized Tb6Sm5Er structure.

Values from the calculation:
The calculation puts the formation enthalpy at 0 K at 0.02 eV/atom.

a b c (Å): 5.0643 10.1397 15.1996
angles (deg): 90.00 90.00 90.00
Closest atoms and distances in Å follow each position.
Space group Immm (No. 71)
Inequivalent atoms, fractional coordinates:
Tb: 0.0000 0.2485 0.0000 [4 per cell]  6 Sm 3.56-3.59, 2 Er 3.57, 4 Tb 3.58
Tb: 0.0000 0.2509 0.3337 [8 per cell]  1 Er 3.57, 7 Sm 3.58-3.60, 4 Tb 3.58-3.59
Sm: 0.0000 0.0000 0.1658 [4 per cell]  8 Tb 3.56-3.60, 2 Er 3.57, 2 Sm 3.59
Sm: 0.0000 0.0000 0.5000 [2 per cell]  4 Sm 3.58, 8 Tb 3.59
Sm: 0.0000 0.5000 0.1667 [4 per cell]  8 Tb 3.58-3.59, 4 Sm 3.58-3.59
Er: 0.0000 0.5000 0.5000 [2 per cell]  8 Tb 3.57, 4 Sm 3.57


Record 9
Density functional theory data (PBE) for a geometry-optimized Tb2Sm6Er3 structure.

Values from the calculation:
The value obtained for the energy above the most stable polymorph in this dataset is 0 meV/atom. The calculation puts the formation enthalpy at 0 K at 0.08 eV/atom.

a b c (Å): 6.0822 8.4223 8.4524
angles (deg): 104.99 108.08 107.72
Closest atoms and distances in Å follow each position.
Space group P-1 (No. 2)
Inequivalent atoms, fractional coordinates:
Tb: 0.1693 0.3139 0.3582 [2 per cell]  6 Sm 3.39-3.62, 4 Er 3.54-3.77, 1 Tb 3.77
Sm: 0.2376 0.1477 0.7408 [2 per cell]  6 Sm 3.43-3.77, 3 Er 3.50-3.67, 2 Tb 3.62-3.80
Sm: 0.2584 0.9565 0.0922 [2 per cell]  7 Sm 3.43-3.79, 3 Er 3.45-3.73, 2 Tb 3.49-3.56
Sm: 0.3624 0.5950 0.7898 [2 per cell]  2 Er 3.28-3.52, 3 Tb 3.39-3.48, 3 Sm 3.45-3.57
Er: 0.0000 0.5000 0.0000 [1 per cell]  4 Sm 3.28-3.45, 2 Er 3.46
Er: 0.2986 0.7768 0.4556 [2 per cell]  2 Er 3.46-3.53, 7 Sm 3.50-3.75, 3 Tb 3.54-3.64


Record 10
Density functional theory data (PBE) for a geometry-optimized Tb3Sm2Er4 structure.

Values from the calculation:
The calculation puts the formation enthalpy at 0 K at 0.10 eV/atom.

a b c (Å): 16.2659 11.5397 6.1026
angles (deg): 90.00 96.08 90.00
Closest atoms and distances in Å follow each position.
Space group C2/c (No. 15)
Inequivalent atoms, fractional coordinates:
Tb: 0.0000 0.0970 0.2500 [4 per cell]  4 Sm 3.42-3.49, 4 Er 3.48-3.53, 2 Tb 3.78
Tb: 0.1648 0.4028 0.0970 [8 per cell]  6 Er 3.34-3.54, 2 Sm 3.46-3.47
Sm: 0.1232 0.1432 0.8226 [8 per cell]  4 Er 3.29-3.59, 4 Tb 3.42-3.49
Er: 0.0459 0.3593 0.5157 [8 per cell]  1 Sm 3.29, 3 Er 3.36-3.57, 4 Tb 3.36-3.48
Er: 0.2159 0.1389 0.3486 [8 per cell]  1 Er 3.28, 4 Tb 3.34-3.54, 3 Sm 3.40-3.59


Record 11
Density functional theory data (PBE) for a geometry-optimized TbSm2Er4 structure.

Values from the calculation:
The value obtained for the energy above the most stable polymorph in this dataset is 88 meV/atom. The calculation puts the formation enthalpy at 0 K at 0.13 eV/atom.

a b c (Å): 6.0540 6.5736 11.5763
angles (deg): 90.00 104.77 90.00
Closest atoms and distances in Å follow each position.
Space group P2_1/m (No. 11)
Inequivalent atoms, fractional coordinates:
Tb: 0.0288 0.2500 0.3611 [2 per cell]  2 Sm 3.31-3.41, 6 Er 3.34-3.44
Sm: 0.1551 0.2500 0.9482 [2 per cell]  9 Er 3.27-3.50
Sm: 0.3990 0.7500 0.5092 [2 per cell]  2 Tb 3.31-3.41, 3 Er 3.40-3.63, 2 Sm 3.53
Er: 0.1474 0.2500 0.6644 [2 per cell]  2 Sm 3.27-3.40, 3 Tb 3.40-3.44, 2 Er 3.45
Er: 0.2832 0.7500 0.9231 [2 per cell]  4 Sm 3.35-3.41, 1 Tb 3.35, 4 Er 3.49-3.63
Er: 0.3426 0.5054 0.2109 [4 per cell]  4 Er 3.22-3.49, 1 Tb 3.34, 2 Sm 3.41-3.50


Record 12
Density functional theory data (PBE) for a geometry-optimized TbSm7Er12 structure.

Values from the calculation:
The value obtained for the energy above the most stable polymorph in this dataset is 441 meV/atom. The calculation puts the formation enthalpy at 0 K at 0.68 eV/atom.

a b c (Å): 11.2022 11.2022 11.2022
angles (deg): 90.00 90.00 90.00
Closest atoms and distances in Å follow each position.
Space group Im-3m (No. 229)
Inequivalent atoms, fractional coordinates:
Tb: 0.0000 0.0000 0.0000 [2 per cell]  12 Er 3.93
Sm: 0.0000 0.0000 0.5000 [6 per cell]  12 Er 3.96-3.99
Sm: 0.2500 0.2500 0.2500 [8 per cell]  6 Er 2.80
Er: 0.0000 0.2481 0.2481 [24 per cell]  2 Sm 2.80